Below is a relaxed Pr6GeRu2Cl3 crystal, with properties calculated at the PBE level.

```
Pr6GeRu2Cl3
1.0
7.276 -0.011 -0.002
-3.645 6.297 -0.002
-1.213 -2.100 7.473
Cl Pr Ge Ru
3 6 1 2
direct
0.166 0.834 0.500 Cl
0.834 0.166 0.500 Cl
0.500 0.500 0.500 Cl
0.932 0.579 0.791 Pr
0.421 0.068 0.209 Pr
0.579 0.932 0.791 Pr
0.068 0.421 0.209 Pr
0.282 0.282 0.789 Pr
0.718 0.718 0.211 Pr
0.000 0.000 0.000 Ge
0.666 0.334 0.000 Ru
0.334 0.666 0.000 Ru
```

Output
As for the volume: 342.01 Å³ per cell. As for the theoretical density: 5.96 g/cm³. The calculation puts the uncorrected formation energy at -0.979 eV/atom. The calculated total energy comes out at -69.129 eV per cell. The calculation puts the spin magnetization at 0.0 μB/f.u.